[1]
This record from Alexandria describes a geometry-optimized HoSbIr structure. The functional is GGA-PBE.

* raw formation energy: -0.7582 eV/atom
* E: -19.84 eV for the cell shown
* crystal system: hexagonal

Lattice parameters (Å, degrees): 4.621 4.621 3.428 90.00 90.00 120.00
Fractional coordinates of all 3 atoms:
Ho: 0.000 0.000 0.000
Sb: 0.333 0.667 0.500
Ir: 0.667 0.333 0.500

---

[2]
This record from Alexandria describes a geometry-optimized KPaAs structure. The functional is GGA-PBE.

* distance to the lowest polymorph of the same formula: 0.00 eV/f.u.
* formation energy: -128 meV/atom
* E: -31.25 eV for the cell shown
* crystal system: tetragonal

Lattice parameters (Å, degrees): 3.734 3.734 14.705 90.00 90.00 90.00
Fractional coordinates of all 6 atoms:
K: 0.000 0.000 0.000
K: 0.500 0.500 0.500
Pa: 0.000 0.000 0.254
Pa: 0.500 0.500 0.754
As: 0.000 0.000 0.677
As: 0.500 0.500 0.177

---

[3]
This record from Alexandria describes a geometry-optimized CsNa3Zn4Br12 structure. The functional is GGA-PBE.

* raw formation energy: -1.1309 eV/atom
* E: -52.60 eV for the cell shown
* crystal system: trigonal

Lattice parameters (Å, degrees): 9.521 9.521 9.521 104.44 104.44 104.44
Fractional coordinates of all 20 atoms:
Cs: 0.000 0.000 0.000
Na: 0.000 0.555 0.445
Na: 0.445 0.000 0.555
Na: 0.555 0.445 0.000
Zn: 0.062 0.500 0.938
Zn: 0.500 0.500 0.500
Zn: 0.500 0.938 0.062
Zn: 0.938 0.062 0.500
Br: 0.056 0.654 0.781
Br: 0.095 0.905 0.500
Br: 0.219 0.346 0.944
Br: 0.344 0.656 0.500
Br: 0.346 0.944 0.219
Br: 0.500 0.095 0.905
Br: 0.500 0.344 0.656
Br: 0.654 0.781 0.056
Br: 0.656 0.500 0.344
Br: 0.781 0.056 0.654
Br: 0.905 0.500 0.095
Br: 0.944 0.219 0.346

---

[4]
This record from Alexandria describes a geometry-optimized LaPm6Zn2 structure. The functional is GGA-PBE.

* formation energy: -136 meV/atom
* E: -37.21 eV for the cell shown
* crystal system: monoclinic

Lattice parameters (Å, degrees): 6.657 6.657 12.123 108.31 108.31 32.70
Fractional coordinates of all 9 atoms:
La: 0.000 0.000 0.000
Pm: 0.026 0.026 0.329
Pm: 0.310 0.310 0.126
Pm: 0.314 0.314 0.412
Pm: 0.686 0.686 0.588
Pm: 0.690 0.690 0.874
Pm: 0.974 0.974 0.671
Zn: 0.347 0.347 0.791
Zn: 0.653 0.653 0.209